! Re2BiF PBE relaxed; values from VASP
! volume: 68 Å³ per cell
! distance to the lowest polymorph of the same formula: 672 meV per atom
! space group: Fm-3m
! raw formation energy: 1.10 eV/atom
! mass density: 14.76 g/cm³
&SYSTEM
  ibrav = 0, nat = 4, ntyp = 3
/
ATOMIC_SPECIES
Re 186.21 Re.upf
Bi 208.98 Bi.upf
F 19.00 F.upf
CELL_PARAMETERS angstrom
0.000 3.232 3.232
3.232 0.000 3.232
3.232 3.232 0.000
ATOMIC_POSITIONS crystal
Re 0.250 0.250 0.250
Re 0.750 0.750 0.750
Bi 0.500 0.500 0.500
F 0.000 0.000 0.000



! BaIn10Ag2 PBE relaxed; values from VASP
! volume: 347 Å³ per cell
! space group: Fmmm
! DFT formation energy: -0.12 eV per atom
! mass density: 7.17 g/cm³
&SYSTEM
  ibrav = 0, nat = 13, ntyp = 3
/
ATOMIC_SPECIES
Ba 137.33 Ba.upf
In 114.82 In.upf
Ag 107.87 Ag.upf
CELL_PARAMETERS angstrom
0.000 8.234 7.002
3.014 0.000 7.002
3.014 8.234 0.000
ATOMIC_POSITIONS crystal
Ba 0.000 0.000 0.000
In 0.647 0.012 0.988
In 0.353 0.988 0.012
In 0.012 0.647 0.353
In 0.988 0.353 0.647
In 0.000 0.500 0.000
In 0.500 0.000 0.500
In 0.726 0.490 0.510
In 0.274 0.510 0.490
In 0.490 0.726 0.274
In 0.510 0.274 0.726
Ag 0.000 0.000 0.500
Ag 0.500 0.500 0.000



! Tm4HgOsPd2 PBE relaxed; values from VASP
! volume: 170 Å³ per cell
! space group: R-3m
! DFT formation energy: -0.67 eV per atom
! mass density: 12.48 g/cm³
&SYSTEM
  ibrav = 0, nat = 8, ntyp = 4
/
ATOMIC_SPECIES
Tm 168.93 Tm.upf
Hg 200.59 Hg.upf
Os 190.23 Os.upf
Pd 106.42 Pd.upf
CELL_PARAMETERS angstrom
4.924 0.000 0.000
2.462 4.264 0.000
2.462 1.421 8.110
ATOMIC_POSITIONS crystal
Tm 0.383 0.383 0.851
Tm 0.869 0.869 0.393
Tm 0.131 0.131 0.607
Tm 0.617 0.617 0.149
Hg 0.000 0.000 0.000
Os 0.500 0.500 0.500
Pd 0.750 0.750 0.750
Pd 0.250 0.250 0.250



! KBaFe2 PBE relaxed; values from VASP
! volume: 162 Å³ per cell
! distance to the lowest polymorph of the same formula: 268 meV per atom
! space group: P2/m
! DFT formation energy: 0.91 eV per atom
! mass density: 2.95 g/cm³
&SYSTEM
  ibrav = 0, nat = 4, ntyp = 3
/
ATOMIC_SPECIES
Ba 137.33 Ba.upf
Fe 55.84 Fe.upf
K 39.10 K.upf
CELL_PARAMETERS angstrom
4.326 0.000 0.000
0.000 4.574 -1.221
0.000 1.619 7.752
ATOMIC_POSITIONS crystal
Ba 0.500 0.750 0.750
Fe 0.000 0.263 0.884
Fe 0.000 0.237 0.616
K 0.500 0.250 0.250



! LiSmThSi PBE relaxed; values from VASP
! volume: 95 Å³ per cell
! space group: F-43m
! raw formation energy: -0.22 eV/atom
! mass density: 7.33 g/cm³
&SYSTEM
  ibrav = 0, nat = 4, ntyp = 4
/
ATOMIC_SPECIES
Si 28.09 Si.upf
Sm 150.36 Sm.upf
Th 232.04 Th.upf
Li 6.94 Li.upf
CELL_PARAMETERS angstrom
5.113 0.000 0.000
2.557 4.428 0.000
2.557 1.476 4.175
ATOMIC_POSITIONS crystal
Si 0.750 0.750 0.750
Sm 0.500 0.500 0.500
Th 0.000 0.000 0.000
Li 0.250 0.250 0.250



! Ca3TmHg12 PBE relaxed; values from VASP
! volume: 404 Å³ per cell
! space group: P4/mmm
! DFT formation energy: -0.35 eV per atom
! mass density: 11.07 g/cm³
&SYSTEM
  ibrav = 0, nat = 16, ntyp = 3
/
ATOMIC_SPECIES
Ca 40.08 Ca.upf
Tm 168.93 Tm.upf
Hg 200.59 Hg.upf
CELL_PARAMETERS angstrom
-0.682 4.604 -0.119
-3.014 -0.355 3.531
13.952 2.379 12.147
ATOMIC_POSITIONS crystal
Ca 0.000 0.000 0.248
Ca 0.000 0.000 0.500
Ca 0.000 0.000 0.752
Tm 0.000 0.000 0.000
Hg 0.500 0.500 0.000
Hg 0.500 0.500 0.247
Hg 0.500 0.500 0.500
Hg 0.500 0.500 0.753
Hg 0.500 0.000 0.120
Hg 0.500 0.000 0.374
Hg 0.500 0.000 0.626
Hg 0.500 0.000 0.880
Hg 0.000 0.500 0.120
Hg 0.000 0.500 0.374
Hg 0.000 0.500 0.626
Hg 0.000 0.500 0.880



! K2HfHO PBE relaxed; values from VASP
! volume: 195 Å³ per cell
! space group: P4/mmm
! mass density: 2.33 g/cm³
! E: -4.312 eV per atom
&SYSTEM
  ibrav = 0, nat = 5, ntyp = 4
/
ATOMIC_SPECIES
H 1.01 H.upf
K 39.10 K.upf
Hf 178.49 Hf.upf
O 16.00 O.upf
CELL_PARAMETERS angstrom
6.998 0.000 0.000
0.000 3.985 0.000
0.000 0.000 6.998
ATOMIC_POSITIONS crystal
H 0.500 0.500 0.500
K 0.000 0.000 0.500
K 0.500 0.000 0.000
Hf 0.000 0.000 0.000
O 0.000 0.500 0.000



! ZrV3Ru PBE relaxed; values from VASP
! volume: 95 Å³ per cell
! distance to the lowest polymorph of the same formula: 0 meV per atom
! space group: Pm-3m
! DFT formation energy: 0.75 eV per atom
! mass density: 6.04 g/cm³
&SYSTEM
  ibrav = 0, nat = 5, ntyp = 3
/
ATOMIC_SPECIES
Ru 101.07 Ru.upf
Zr 91.22 Zr.upf
V 50.94 V.upf
CELL_PARAMETERS angstrom
4.562 0.000 0.000
0.000 4.562 0.000
0.000 0.000 4.562
ATOMIC_POSITIONS crystal
Ru 0.000 0.000 0.000
Zr 0.500 0.500 0.500
V 0.000 0.500 0.000
V 0.000 0.000 0.500
V 0.500 0.000 0.000



! Th4AlPb PBE relaxed; values from VASP
! volume: 364 Å³ per cell
! space group: P4/mcc
! DFT formation energy: -0.22 eV per atom
! mass density: 10.60 g/cm³
&SYSTEM
  ibrav = 0, nat = 12, ntyp = 3
/
ATOMIC_SPECIES
Th 232.04 Th.upf
Al 26.98 Al.upf
Pb 207.20 Pb.upf
CELL_PARAMETERS angstrom
6.195 0.000 0.000
0.000 7.666 0.000
0.000 0.000 7.666
ATOMIC_POSITIONS crystal
Th 0.000 0.165 0.647
Th 0.000 0.835 0.353
Th 0.000 0.353 0.165
Th 0.000 0.647 0.835
Th 0.500 0.835 0.647
Th 0.500 0.165 0.353
Th 0.500 0.647 0.165
Th 0.500 0.353 0.835
Al 0.250 0.500 0.500
Al 0.750 0.500 0.500
Pb 0.250 0.000 0.000
Pb 0.750 0.000 0.000



! Sb2ClO4 PBE relaxed; values from VASP
! volume: 337 Å³ per cell
! space group: P1
! raw formation energy: -1.11 eV/atom
! mass density: 3.38 g/cm³
&SYSTEM
  ibrav = 0, nat = 14, ntyp = 3
/
ATOMIC_SPECIES
Sb 121.76 Sb.upf
Cl 35.45 Cl.upf
O 16.00 O.upf
CELL_PARAMETERS angstrom
7.403 1.235 0.178
0.649 9.073 -1.105
-3.739 -6.141 5.680
ATOMIC_POSITIONS crystal
Sb 0.644 0.384 0.759
Sb 0.646 0.882 0.259
Sb 0.619 0.282 0.334
Sb 0.267 0.441 0.847
Cl 0.831 0.459 0.361
Cl 0.287 0.239 0.056
O 0.745 0.021 0.206
O 0.468 0.729 0.234
O 0.742 0.531 0.714
O 0.824 0.157 0.656
O 0.459 0.125 0.340
O 0.465 0.240 0.744
O 0.422 0.595 0.838
O 0.832 0.665 0.151



! CeNdHgAu PBE relaxed; values from VASP
! volume: 107 Å³ per cell
! distance to the lowest polymorph of the same formula: 21 meV per atom
! space group: F-43m
! DFT formation energy: -0.50 eV per atom
! mass density: 10.56 g/cm³
&SYSTEM
  ibrav = 0, nat = 4, ntyp = 4
/
ATOMIC_SPECIES
Nd 144.24 Nd.upf
Au 196.97 Au.upf
Hg 200.59 Hg.upf
Ce 140.12 Ce.upf
CELL_PARAMETERS angstrom
5.333 0.000 0.000
2.666 4.619 0.000
2.666 1.540 4.354
ATOMIC_POSITIONS crystal
Nd 0.250 0.250 0.250
Au 0.000 0.000 0.000
Hg 0.500 0.500 0.500
Ce 0.750 0.750 0.750



! SrCo2Sb PBE relaxed; values from VASP
! volume: 80 Å³ per cell
! space group: I-4m2
! raw formation energy: 0.47 eV/atom
! mass density: 6.76 g/cm³
&SYSTEM
  ibrav = 0, nat = 4, ntyp = 3
/
ATOMIC_SPECIES
Co 58.93 Co.upf
Sb 121.76 Sb.upf
Sr 87.62 Sr.upf
CELL_PARAMETERS angstrom
-0.887 5.164 1.390
-4.442 2.103 -2.287
1.038 -4.539 2.775
ATOMIC_POSITIONS crystal
Co 0.000 0.000 0.000
Co 0.250 0.750 0.500
Sb 0.500 0.500 0.000
Sr 0.750 0.250 0.500



! Pm4MgPt5 PBE relaxed; values from VASP
! volume: 217 Å³ per cell
! space group: P4/mmm
! DFT formation energy: -1.03 eV per atom
! mass density: 12.07 g/cm³
&SYSTEM
  ibrav = 0, nat = 10, ntyp = 3
/
ATOMIC_SPECIES
Pm 145.00 Pm.upf
Mg 24.30 Mg.upf
Pt 195.08 Pt.upf
CELL_PARAMETERS angstrom
3.544 0.000 0.000
0.000 3.544 0.000
0.000 0.000 17.294
ATOMIC_POSITIONS crystal
Pm 0.000 0.000 0.184
Pm 0.000 0.000 0.395
Pm 0.000 0.000 0.605
Pm 0.000 0.000 0.816
Mg 0.000 0.000 0.000
Pt 0.500 0.500 0.083
Pt 0.500 0.500 0.290
Pt 0.500 0.500 0.500
Pt 0.500 0.500 0.710
Pt 0.500 0.500 0.917



! NaSn2P3O12 PBE relaxed; values from VASP
! volume: 496 Å³ per cell
! distance to the lowest polymorph of the same formula: 23 meV per atom
! space group: P-1
! raw formation energy: -2.04 eV/atom
! mass density: 3.65 g/cm³
&SYSTEM
  ibrav = 0, nat = 36, ntyp = 4
/
ATOMIC_SPECIES
Na 22.99 Na.upf
Sn 118.71 Sn.upf
P 30.97 P.upf
O 16.00 O.upf
CELL_PARAMETERS angstrom
8.605 -0.021 -0.062
4.283 7.458 -0.023
4.196 2.469 7.695
ATOMIC_POSITIONS crystal
Na 0.825 0.525 0.455
Na 0.175 0.475 0.545
Sn 0.149 0.646 0.063
Sn 0.654 0.143 0.554
Sn 0.346 0.857 0.446
Sn 0.851 0.354 0.937
P 0.529 0.458 0.757
P 0.752 0.963 0.251
P 0.038 0.252 0.252
P 0.962 0.748 0.748
P 0.248 0.037 0.749
P 0.471 0.542 0.243
O 0.895 0.767 0.228
O 0.510 0.651 0.611
O 0.384 0.474 0.932
O 0.731 0.387 0.766
O 0.100 0.400 0.242
O 0.786 0.119 0.080
O 0.514 0.321 0.704
O 0.215 0.025 0.601
O 0.854 0.268 0.406
O 0.552 0.971 0.302
O 0.005 0.302 0.081
O 0.189 0.053 0.283
O 0.811 0.947 0.717
O 0.995 0.698 0.919
O 0.448 0.029 0.698
O 0.146 0.732 0.594
O 0.785 0.975 0.399
O 0.486 0.679 0.296
O 0.214 0.881 0.920
O 0.900 0.600 0.758
O 0.269 0.613 0.234
O 0.616 0.526 0.068
O 0.490 0.349 0.389
O 0.105 0.233 0.772



! ScTePd2 PBE relaxed; values from VASP
! volume: 161 Å³ per cell
! space group: I-42d
! raw formation energy: -0.59 eV/atom
! mass density: 7.95 g/cm³
&SYSTEM
  ibrav = 0, nat = 8, ntyp = 3
/
ATOMIC_SPECIES
Sc 44.96 Sc.upf
Te 127.60 Te.upf
Pd 106.42 Pd.upf
CELL_PARAMETERS angstrom
-1.717 -2.873 2.405
0.833 -2.872 -2.836
7.957 -4.471 3.869
ATOMIC_POSITIONS crystal
Sc 0.500 0.500 0.000
Sc 0.250 0.750 0.500
Te 0.000 0.000 0.000
Te 0.750 0.250 0.500
Pd 0.623 0.125 0.250
Pd 0.127 0.625 0.250
Pd 0.375 0.377 0.750
Pd 0.875 0.873 0.750



! ScCuTcRu PBE relaxed; values from VASP
! volume: 61 Å³ per cell
! space group: F-43m
! DFT formation energy: -0.04 eV per atom
! mass density: 8.43 g/cm³
&SYSTEM
  ibrav = 0, nat = 4, ntyp = 4
/
ATOMIC_SPECIES
Sc 44.96 Sc.upf
Ru 101.07 Ru.upf
Tc 98.00 Tc.upf
Cu 63.55 Cu.upf
CELL_PARAMETERS angstrom
-0.831 -2.756 -3.339
1.968 -3.942 -0.146
-2.350 -3.664 0.699
ATOMIC_POSITIONS crystal
Sc 0.500 0.500 0.500
Ru 0.250 0.250 0.250
Tc 0.000 0.000 0.000
Cu 0.750 0.750 0.750



! CsTc2O8 PBE relaxed; values from VASP
! volume: 246 Å³ per cell
! distance to the lowest polymorph of the same formula: 0 meV per atom
! space group: C2/m
! raw formation energy: -1.32 eV/atom
! mass density: 3.08 g/cm³
&SYSTEM
  ibrav = 0, nat = 11, ntyp = 3
/
ATOMIC_SPECIES
Cs 132.91 Cs.upf
Tc 98.00 Tc.upf
O 16.00 O.upf
CELL_PARAMETERS angstrom
-3.025 -1.980 4.699
-3.528 0.714 -5.711
4.307 -6.295 0.120
ATOMIC_POSITIONS crystal
Cs 0.000 0.000 0.000
Tc 0.218 0.435 0.715
Tc 0.782 0.565 0.285
O 0.585 0.650 0.197
O 0.935 0.350 0.803
O 0.141 0.282 0.460
O 0.859 0.718 0.540
O 0.065 0.650 0.197
O 0.415 0.350 0.803
O 0.375 0.750 0.793
O 0.625 0.250 0.207



! Ag5HgAu8 PBE relaxed; values from VASP
! volume: 274 Å³ per cell
! space group: I-4
! DFT formation energy: 0.10 eV per atom
! mass density: 14.03 g/cm³
&SYSTEM
  ibrav = 0, nat = 14, ntyp = 3
/
ATOMIC_SPECIES
Ag 107.87 Ag.upf
Hg 200.59 Hg.upf
Au 196.97 Au.upf
CELL_PARAMETERS angstrom
-3.136 -5.733 -2.748
-0.288 -0.420 7.071
-3.292 5.931 -2.062
ATOMIC_POSITIONS crystal
Ag 0.013 0.294 0.098
Ag 0.902 0.915 0.196
Ag 0.804 0.706 0.719
Ag 0.500 0.000 0.500
Ag 0.281 0.085 0.987
Hg 0.250 0.500 0.750
Au 0.130 0.687 0.067
Au 0.933 0.063 0.621
Au 0.753 0.274 0.352
Au 0.648 0.400 0.921
Au 0.521 0.600 0.247
Au 0.557 0.937 0.870
Au 0.379 0.313 0.443
Au 0.079 0.726 0.479



! Na2AcHg9 PBE relaxed; values from VASP
! volume: 333 Å³ per cell
! space group: P-1
! DFT formation energy: -0.21 eV per atom
! mass density: 10.38 g/cm³
&SYSTEM
  ibrav = 0, nat = 12, ntyp = 3
/
ATOMIC_SPECIES
Na 22.99 Na.upf
Ac 227.00 Ac.upf
Hg 200.59 Hg.upf
CELL_PARAMETERS angstrom
-9.012 -2.105 -4.197
-4.687 -4.901 -7.578
-11.605 -10.254 -6.401
ATOMIC_POSITIONS crystal
Na 0.187 0.189 0.491
Na 0.813 0.811 0.509
Ac 0.000 0.000 0.000
Hg 0.598 0.600 0.569
Hg 0.402 0.400 0.431
Hg 0.500 0.500 0.500
Hg 0.756 0.756 0.751
Hg 0.388 0.896 0.031
Hg 0.896 0.386 0.032
Hg 0.244 0.244 0.249
Hg 0.104 0.614 0.968
Hg 0.612 0.104 0.969



! HgMo2W PBE relaxed; values from VASP
! volume: 68 Å³ per cell
! space group: F-43m
! DFT formation energy: 0.71 eV per atom
! mass density: 14.05 g/cm³
&SYSTEM
  ibrav = 0, nat = 4, ntyp = 3
/
ATOMIC_SPECIES
Hg 200.59 Hg.upf
Mo 95.94 Mo.upf
W 183.84 W.upf
CELL_PARAMETERS angstrom
4.584 0.000 0.000
2.292 3.970 0.000
2.292 1.323 3.743
ATOMIC_POSITIONS crystal
Hg 0.500 0.500 0.500
Mo 0.000 0.000 0.000
Mo 0.750 0.750 0.750
W 0.250 0.250 0.250